# 1
A plane-wave DFT calculation with PBE was carried out for an optimized crystal structure of HoInAs.

Lattice parameters (Å, degrees): 8.585 8.585 8.585 33.00 33.00 33.00
Element x y z (fractional)
Ho (0.223, 0.223, 0.223)
Ho (0.777, 0.777, 0.777)
In (0.359, 0.359, 0.359)
In (0.641, 0.641, 0.641)
As (0.106, 0.106, 0.106)
As (0.894, 0.894, 0.894)

Computed properties:
Magnetic moment = 0.00 μB/f.u.
Energy of formation from the pure elements = -586 meV/atom

---

# 2
A plane-wave DFT calculation with PBE was carried out for an optimized crystal structure of HoInAs2Rh5.

Lattice parameters (Å, degrees): 4.191 4.191 8.630 90.00 90.00 90.00
Element x y z (fractional)
Ho (0.000, 0.000, 0.000)
In (0.000, 0.000, 0.500)
As (0.500, 0.500, 0.145)
As (0.500, 0.500, 0.855)
Rh (0.000, 0.500, 0.278)
Rh (0.000, 0.500, 0.722)
Rh (0.500, 0.000, 0.278)
Rh (0.500, 0.000, 0.722)
Rh (0.500, 0.500, 0.500)

Computed properties:
Magnetic moment = 0.00 μB/f.u.
Energy of formation from the pure elements = -614 meV/atom